! GGA+U CoTeO3, relaxed; values from VASP
&SYSTEM
  ibrav = 0, nat = 5, ntyp = 3
/
ATOMIC_SPECIES
Co 58.93 Co.upf
Te 127.60 Te.upf
O 16.00 O.upf
CELL_PARAMETERS angstrom
4.090 0.000 0.000
0.000 4.090 0.000
0.000 0.000 4.090
ATOMIC_POSITIONS angstrom
Co 0.000 0.000 0.000
Te 2.045 2.045 2.045
O 0.000 2.045 2.045
O 2.045 0.000 2.045
O 2.045 2.045 0.000
! Space group   Pm-3m, No. 221
! Energy   -24.3 eV for the cell shown
! Magnetization   2.62 μB/f.u.